# Rb2UMoO6 | Alexandria via LeMat-Bulk | PBE with a Hubbard U | optimized geometry
data_Rb2UMoO6
_cell_length_a 5.953
_cell_length_b 5.953
_cell_length_c 8.470
_cell_angle_alpha 90.00
_cell_angle_beta 90.00
_cell_angle_gamma 90.00
_space_group_name_H-M_alt 'I 4/m m m'
_space_group_IT_number 139
_space_group_name_Hall '-I 4 2'
loop_
_atom_site_label
_atom_site_fract_x
_atom_site_fract_y
_atom_site_fract_z
Rb1 0.000 0.500 0.250
U1 0.000 0.000 0.000
Mo1 0.000 0.000 0.500
O1 0.000 0.000 0.242
O2 0.245 0.245 0.500
# E_tot, eV per atom: -7.334
# V, A^3/atom: 15.01